Crystalline Ba4CdPt2 at its relaxed geometry. Source: the Alexandria database, functional PBE-GGA.

```
Ba4CdPt2
1.0
-1.4099 -0.0305 -4.4212
12.9982 -4.3878 -4.1148
-4.9246 -16.1656 1.6819
Ba Pt Cd
16 8 4
Cartesian
-0.3153 -1.5783 -3.5419
6.9789 -19.0056 -3.3122
4.4424 -9.4886 -5.0045
2.2212 -11.0954 -1.8496
8.0959 -15.8264 -6.1259
-1.4323 -4.7575 -0.7282
1.2337 -14.8247 -3.9445
5.4300 -5.7592 -2.9096
3.7440 -2.1358 -4.8325
2.9197 -18.4481 -2.0216
8.0526 -11.5200 -6.1418
-1.3890 -9.0639 -0.7123
-1.8502 -14.5561 -0.5274
8.5139 -6.0278 -6.3267
5.5787 -13.6978 -2.9023
1.0849 -6.8862 -3.9518
-4.6424 -14.6292 -2.0720
11.3061 -5.9547 -4.7821
3.2077 -12.3881 -4.5908
3.4559 -8.1958 -2.2633
0.6174 -16.4297 -1.3014
6.0462 -4.1542 -5.5527
8.6212 -13.6843 -3.8727
-1.9576 -6.8997 -2.9815
7.8914 -8.6789 -3.6744
-1.2278 -11.9050 -3.1797
2.1831 -3.8892 -1.8871
4.4805 -16.6947 -4.9670
```

## Properties
Crystal system: orthorhombic
ΔE_f, eV/atom: -0.58

Crystalline Sm2In3Hg2 at its relaxed geometry. Source: the Alexandria database, functional PBE-GGA.

```
Sm2In3Hg2
1.0
4.6701 0.0000 0.0000
-2.3350 5.6829 0.1064
0.0000 -1.1603 6.9293
Sm In Hg
2 3 2
Cartesian
2.3350 0.8679 2.1972
0.0000 3.6548 4.8385
0.0000 3.2044 1.0440
0.0000 0.0000 0.0000
2.3350 1.3182 5.9917
0.0000 0.5576 4.3640
2.3350 3.9650 2.6717
```

## Properties
Crystal system: monoclinic
ΔE_f, eV/atom: -0.37

Crystalline Ce2BeRh6 at its relaxed geometry. Source: the Alexandria database, functional PBE-GGA.

```
Ce2BeRh6
1.0
-2.5552 5.1957 -1.0614
-5.8487 0.5383 0.3923
-2.3843 3.0666 4.4231
Ce Be Rh
2 1 6
Cartesian
-2.6964 2.1994 0.9375
-8.0919 6.6012 2.8166
-5.3941 4.4003 1.8770
-3.8147 3.6992 3.2093
-5.6331 2.3768 1.0980
-5.1551 6.4238 2.6561
-3.9073 4.8174 0.3363
-6.8810 3.9833 3.4178
-6.9735 5.1014 0.5448
```

## Properties
Crystal system: cubic
ΔE_f, eV/atom: -0.69

Crystalline Nb2SnTeO at its relaxed geometry. Source: the Alexandria database, functional PBE-GGA.

```
Nb2SnTeO
1.0
5.2872 0.0000 0.0000
0.0000 3.9790 0.0000
0.0000 0.0000 5.2872
Nb Te Sn O
2 1 1 1
Cartesian
0.0000 0.0000 2.6436
2.6436 0.0000 0.0000
0.0000 0.0000 0.0000
2.6436 1.9895 2.6436
0.0000 1.9895 0.0000
```

## Properties
Uncorrected formation energy, kJ/mol of atoms: 58
Crystal system: tetragonal
Distance to the lowest polymorph of the same formula, meV per atom: 0

Crystalline HoTiPd4 at its relaxed geometry. Source: the Alexandria database, functional PBE-GGA.

```
HoTiPd4
1.0
4.2063 0.0000 0.0000
0.0000 7.7885 0.0000
0.0000 0.0000 12.5562
Ho Ti Pd
4 4 16
Cartesian
3.1547 1.9464 5.4430
1.0516 5.8421 7.1132
1.0516 1.9479 11.7211
3.1547 5.8406 0.8351
3.1547 5.8420 9.6832
1.0516 1.9465 2.8730
1.0516 5.8407 3.4051
3.1547 1.9477 9.1510
3.1547 7.7111 7.5078
1.0516 0.0774 5.0484
1.0516 3.9716 1.2297
3.1547 3.8169 11.3265
3.1547 5.8418 5.1128
1.0516 1.9466 7.4434
1.0516 5.8408 11.3909
3.1547 1.9476 1.1653
3.1547 0.0772 11.3285
1.0516 7.7113 1.2276
1.0516 3.8170 5.0505
3.1547 3.9714 7.5057
3.1547 7.7880 3.1379
1.0516 0.0004 9.4182
1.0516 3.8947 9.4160
3.1547 3.8938 3.1401
```

## Properties
Crystal system: orthorhombic
ΔE_f, eV/atom: -0.70

Crystalline CeEr2 at its relaxed geometry. Source: the Alexandria database, functional PBE-GGA.

```
CeEr2
1.0
6.5920 0.0000 0.0000
3.2960 5.7088 0.0000
3.2960 1.9029 5.3823
Ce Er
2 4
Cartesian
0.0000 0.0000 0.0000
3.2960 1.9029 1.3456
4.9440 4.7573 3.3639
6.5920 1.9029 3.3639
8.2400 4.7573 3.3639
6.5920 3.8059 0.6728
```

## Properties
Crystal system: cubic
Distance to the lowest polymorph of the same formula, meV per atom: 312
ΔE_f, eV/atom: 0.38